## TaFeNi (PBEsol)

Data for a geometry-optimized TaFeNi structure.

```
3
Lattice="-2.681 -0.168 1.561 1.569 -0.171 2.675 0.480 4.165 -1.818" Properties=species:S:1:pos:R:3 pbc="T T T"
Fe -0.632 3.825 2.418
Ni -0.051 2.686 0.202
Ta -0.581 1.141 2.216
```

Computed properties:
Its calculated formation energy is -0.101 eV/atom. Its density of states at the Fermi level is 3.68 states/eV/cell. The value obtained for the total magnetic moment is 1.52 Bohr magnetons per cell.